First-principles (SCAN) data for OsPt2Pb at its PBEsol-relaxed geometry, as listed in Alexandria.

```
OsPt2Pb
1.0
2.817 0.000 0.000
0.000 4.881 0.000
-1.409 -2.441 4.919
Os Pb Pt
1 1 2
Direct
0.488 0.488 0.975 Os
0.242 0.742 0.485 Pb
0.010 0.010 0.020 Pt
0.760 0.260 0.520 Pt
```

Calculated values
- Crystal system: orthorhombic
- Space-group type: Imm2, No. 44
- Total magnetization: 0.0 μB/cell
- DFT total energy: -71.467 eV/atom



First-principles (SCAN) data for NaNiAg2 at its PBEsol-relaxed geometry, as listed in Alexandria.

```
NaNiAg2
1.0
-3.559 -2.047 -1.760
0.363 -4.174 -1.549
-1.947 -3.372 2.189
Ni Ag Na
1 2 1
Direct
0.500 0.500 0.500 Ni
0.250 0.250 0.250 Ag
0.750 0.750 0.750 Ag
0.000 0.000 0.000 Na
```

Calculated values
- Crystal system: cubic
- Space-group type: Fm-3m, No. 225
- Total magnetization: 0.0 μB/cell
- DFT total energy: -20.461 eV/atom



First-principles (SCAN) data for Ta2ReMo at its PBEsol-relaxed geometry, as listed in Alexandria.

```
Ta2ReMo
1.0
3.174 0.000 0.000
0.000 4.466 0.000
-1.587 -2.233 4.548
Re Mo Ta
1 1 2
Direct
0.247 0.747 0.494 Re
0.503 0.503 0.007 Mo
0.996 0.996 0.991 Ta
0.754 0.254 0.508 Ta
```

Calculated values
- Crystal system: orthorhombic
- Space-group type: Imm2, No. 44
- Total magnetization: 0.0 μB/cell
- DFT total energy: -60.125 eV/atom



First-principles (SCAN) data for CoTe2H at its PBEsol-relaxed geometry, as listed in Alexandria.

```
CoTe2H
1.0
3.209 0.000 0.000
1.605 2.779 0.000
1.605 0.926 8.017
H Te Co
1 2 1
Direct
0.500 0.500 0.500 H
0.900 0.900 0.300 Te
0.100 0.100 0.700 Te
0.000 0.000 0.000 Co
```

Calculated values
- Crystal system: trigonal
- Space-group type: R-3m, No. 166
- Total magnetization: 1.9 μB/cell
- DFT total energy: -22.973 eV/atom



First-principles (SCAN) data for ZrPNCl2 at its PBEsol-relaxed geometry, as listed in Alexandria.

```
ZrPNCl2
1.0
4.957 0.000 0.000
0.000 4.957 0.000
0.000 0.000 5.100
P N Zr Cl
1 1 1 2
Direct
0.000 0.000 0.500 P
0.500 0.500 0.500 N
0.000 0.000 0.000 Zr
0.000 0.500 0.000 Cl
0.500 0.000 0.000 Cl
```

Calculated values
- Crystal system: tetragonal
- Space-group type: P4/mmm, No. 123
- Total magnetization: 2.0 μB/cell
- DFT total energy: -13.171 eV/atom
- Formation energy (no corrections): 0.098 eV/atom



First-principles (SCAN) data for CoTc2 at its PBEsol-relaxed geometry, as listed in Alexandria.

```
CoTc2
1.0
-0.470 1.439 -2.070
-2.494 0.043 0.596
3.188 9.076 7.177
Co Tc
2 4
Direct
0.000 0.000 0.000 Co
0.250 0.750 0.500 Co
0.674 0.174 0.348 Tc
0.826 0.326 0.652 Tc
0.424 0.424 0.848 Tc
0.576 0.576 0.152 Tc
```

Calculated values
- Crystal system: tetragonal
- Space-group type: I4_1/amd, No. 141
- Total magnetization: 2.7 μB/cell
- DFT total energy: -28.827 eV/atom



First-principles (SCAN) data for TiPI2O at its PBEsol-relaxed geometry, as listed in Alexandria.

```
TiPI2O
1.0
3.679 0.000 0.000
0.000 5.479 0.000
0.000 0.000 5.479
I P O Ti
2 1 1 1
Direct
0.000 0.000 0.500 I
0.000 0.500 0.000 I
0.500 0.500 0.500 P
0.500 0.000 0.000 O
0.000 0.000 0.000 Ti
```

Calculated values
- Crystal system: tetragonal
- Space-group type: P4/mmm, No. 123
- Total magnetization: 0.9 μB/cell
- DFT total energy: -21.736 eV/atom
- Formation energy (no corrections): -0.507 eV/atom



First-principles (SCAN) data for LaCdSe3 at its PBEsol-relaxed geometry, as listed in Alexandria.

```
LaCdSe3
1.0
5.652 0.000 0.000
0.000 5.652 0.000
0.000 0.000 5.652
Cd Se La
1 3 1
Direct
0.500 0.500 0.500 Cd
0.000 0.500 0.000 Se
0.000 0.000 0.500 Se
0.500 0.000 0.000 Se
0.000 0.000 0.000 La
```

Calculated values
- Crystal system: cubic
- Space-group type: Pm-3m, No. 221
- Total magnetization: 0.0 μB/cell
- DFT total energy: -27.100 eV/atom
- Formation energy (no corrections): -0.349 eV/atom



First-principles (SCAN) data for BeCdN2O at its PBEsol-relaxed geometry, as listed in Alexandria.

```
BeCdN2O
1.0
-1.586 -1.906 -2.273
2.930 -0.603 -1.539
0.592 -3.445 2.476
Be N O Cd
1 2 1 1
Direct
0.000 0.000 0.000 Be
0.000 0.500 0.000 N
0.500 0.000 0.000 N
0.000 0.000 0.500 O
0.500 0.500 0.500 Cd
```

Calculated values
- Crystal system: tetragonal
- Space-group type: P4/mmm, No. 123
- Total magnetization: 2.3 μB/cell
- DFT total energy: -11.416 eV/atom
- Formation energy (no corrections): 0.500 eV/atom



First-principles (SCAN) data for FeSe2S at its PBEsol-relaxed geometry, as listed in Alexandria.

```
FeSe2S
1.0
3.432 0.000 0.000
1.716 2.972 0.000
1.716 0.991 7.798
S Fe Se
1 1 2
Direct
0.500 0.500 0.500 S
0.000 0.000 0.000 Fe
0.905 0.905 0.285 Se
0.095 0.095 0.715 Se
```

Calculated values
- Crystal system: trigonal
- Space-group type: R-3m, No. 166
- Total magnetization: 2.6 μB/cell
- DFT total energy: -16.231 eV/atom
- Formation energy (no corrections): 0.748 eV/atom



First-principles (SCAN) data for ZnCd2Ag at its PBEsol-relaxed geometry, as listed in Alexandria.

```
ZnCd2Ag
1.0
-2.139 -2.400 0.456
1.529 -0.843 2.738
-3.927 4.159 3.474
Zn Ag Cd
1 1 2
Direct
0.000 0.000 0.520 Zn
0.500 0.500 0.724 Ag
0.000 0.000 0.985 Cd
0.500 0.500 0.272 Cd
```

Calculated values
- Crystal system: tetragonal
- Space-group type: P4mm, No. 99
- Total magnetization: 0.0 μB/cell
- DFT total energy: -26.398 eV/atom



First-principles (SCAN) data for RuW3S at its PBEsol-relaxed geometry, as listed in Alexandria.

```
RuW3S
1.0
-2.020 3.617 -1.238
-3.819 -1.974 0.463
-0.178 1.310 4.117
Ru S W
1 1 3
Direct
0.500 0.500 0.500 Ru
0.000 0.000 0.000 S
0.000 0.500 0.000 W
0.000 0.000 0.500 W
0.500 0.000 0.000 W
```

Calculated values
- Crystal system: cubic
- Space-group type: Pm-3m, No. 221
- Total magnetization: 0.0 μB/cell
- DFT total energy: -49.527 eV/atom
- Formation energy (no corrections): 1.176 eV/atom



First-principles (SCAN) data for RbZnP3 at its PBEsol-relaxed geometry, as listed in Alexandria.

```
RbZnP3
1.0
5.300 0.000 0.000
0.000 5.300 0.000
0.000 0.000 5.300
P Zn Rb
3 1 1
Direct
0.000 0.500 0.000 P
0.000 0.000 0.500 P
0.500 0.000 0.000 P
0.500 0.500 0.500 Zn
0.000 0.000 0.000 Rb
```

Calculated values
- Crystal system: cubic
- Space-group type: Pm-3m, No. 221
- Total magnetization: 0.0 μB/cell
- DFT total energy: -10.735 eV/atom



First-principles (SCAN) data for BeSbTe2Mo at its PBEsol-relaxed geometry, as listed in Alexandria.

```
BeSbTe2Mo
1.0
5.217 0.000 0.000
0.000 5.217 0.000
0.000 0.000 5.187
Sb Mo Te Be
1 1 2 1
Direct
0.000 0.000 0.500 Sb
0.000 0.000 0.000 Mo
0.000 0.500 0.000 Te
0.500 0.000 0.000 Te
0.500 0.500 0.500 Be
```

Calculated values
- Crystal system: tetragonal
- Space-group type: P4/mmm, No. 123
- Total magnetization: 0.0 μB/cell
- DFT total energy: -29.183 eV/atom
- Formation energy (no corrections): 1.017 eV/atom



First-principles (SCAN) data for ZrBeOsBr2 at its PBEsol-relaxed geometry, as listed in Alexandria.

```
ZrBeOsBr2
1.0
4.923 0.000 0.000
0.000 4.923 0.000
0.000 0.000 5.042
Be Os Br Zr
1 1 2 1
Direct
0.500 0.500 0.500 Be
0.000 0.000 0.000 Os
0.000 0.500 0.000 Br
0.500 0.000 0.000 Br
0.000 0.000 0.500 Zr
```

Calculated values
- Crystal system: tetragonal
- Space-group type: P4/mmm, No. 123
- Total magnetization: 0.7 μB/cell
- DFT total energy: -28.084 eV/atom
- Formation energy (no corrections): 1.086 eV/atom



First-principles (SCAN) data for PI2Cl at its PBEsol-relaxed geometry, as listed in Alexandria.

```
PI2Cl
1.0
-1.021 -1.463 4.783
3.324 -2.926 2.539
2.667 1.952 3.890
I P Cl
2 1 1
Direct
0.250 0.250 0.250 I
0.750 0.750 0.750 I
0.000 0.000 0.000 P
0.500 0.500 0.500 Cl
```

Calculated values
- Crystal system: cubic
- Space-group type: Fm-3m, No. 225
- Total magnetization: 0.0 μB/cell
- DFT total energy: -22.306 eV/atom
- Formation energy (no corrections): 0.659 eV/atom



First-principles (SCAN) data for TiNb2Al2 at its PBEsol-relaxed geometry, as listed in Alexandria.

```
TiNb2Al2
1.0
3.448 0.000 0.000
0.000 6.961 0.000
0.000 0.000 6.961
Nb Al Ti
4 4 2
Direct
0.500 0.173 0.673 Nb
0.500 0.673 0.827 Nb
0.500 0.827 0.327 Nb
0.500 0.327 0.173 Nb
0.000 0.373 0.873 Al
0.000 0.873 0.627 Al
0.000 0.627 0.127 Al
0.000 0.127 0.373 Al
0.000 0.000 0.000 Ti
0.000 0.500 0.500 Ti
```

Calculated values
- Crystal system: tetragonal
- Space-group type: P4/mbm, No. 127
- Total magnetization: 0.0 μB/cell
- DFT total energy: -19.878 eV/atom



First-principles (SCAN) data for HWS2 at its PBEsol-relaxed geometry, as listed in Alexandria.

```
HWS2
1.0
2.842 0.000 0.000
1.421 2.461 0.000
1.421 0.820 7.286
H S W
1 2 1
Direct
0.500 0.500 0.500 H
0.894 0.894 0.319 S
0.106 0.106 0.681 S
0.000 0.000 0.000 W
```

Calculated values
- Crystal system: trigonal
- Space-group type: R-3m, No. 166
- Total magnetization: 0.0 μB/cell
- DFT total energy: -22.132 eV/atom



First-principles (SCAN) data for Al2CuGeIr at its PBEsol-relaxed geometry, as listed in Alexandria.

```
Al2CuGeIr
1.0
4.596 0.000 0.000
0.000 4.596 0.000
0.000 0.000 4.780
Ge Ir Al Cu
1 1 2 1
Direct
0.500 0.500 0.500 Ge
0.000 0.000 0.000 Ir
0.000 0.500 0.000 Al
0.500 0.000 0.000 Al
0.000 0.000 0.500 Cu
```

Calculated values
- Crystal system: tetragonal
- Space-group type: P4/mmm, No. 123
- Total magnetization: 0.0 μB/cell
- DFT total energy: -23.886 eV/atom



First-principles (SCAN) data for Zr4FeBr at its PBEsol-relaxed geometry, as listed in Alexandria.

```
Zr4FeBr
1.0
-1.047 -3.143 -4.570
1.716 -5.374 -0.183
-3.783 -4.181 0.256
Br Fe Zr
1 1 4
Direct
0.750 0.750 0.750 Br
0.000 0.000 0.000 Fe
0.372 0.372 0.372 Zr
0.372 0.372 0.883 Zr
0.883 0.372 0.372 Zr
0.372 0.883 0.372 Zr
```

Calculated values
- Crystal system: cubic
- Space-group type: F-43m, No. 216
- Total magnetization: 3.1 μB/cell
- DFT total energy: -26.037 eV/atom
- Formation energy (no corrections): 0.693 eV/atom